# 1
First-principles (PBE-GGA) data for an optimized crystal structure of DyLuZr, as listed in Alexandria. Values from VASP.

**ΔH_f (0 K)**: 0.07 eV/atom
**E_tot**: -0.2140 hartree per atom
**ρ**: 8.58 g cm⁻³
**D(E_F)**: 4.33 states/eV per cell

The structure in Quantum ESPRESSO input format:
```
&SYSTEM
  ibrav = 0, nat = 3, ntyp = 3
/
ATOMIC_SPECIES
Lu 174.97 Lu.upf
Zr 91.22 Zr.upf
Dy 162.50 Dy.upf
ATOMIC_POSITIONS angstrom
Lu 0.000 0.000 0.157
Zr 1.690 1.690 2.394
Dy 0.000 0.000 4.707
CELL_PARAMETERS angstrom
3.380 0.000 0.000
0.000 3.380 0.000
-1.690 -1.690 7.259
```

=====

# 2
First-principles (PBE-GGA) data for an optimized crystal structure of TaZnRu, as listed in Alexandria. Values from VASP.

**ΔH_f (0 K)**: 0.06 eV/atom
**E_tot**: -0.2721 hartree per atom
**ρ**: 12.16 g cm⁻³
**D(E_F)**: 2.86 states/eV per cell

The structure in Quantum ESPRESSO input format:
```
&SYSTEM
  ibrav = 0, nat = 3, ntyp = 3
/
ATOMIC_SPECIES
Ru 101.07 Ru.upf
Ta 180.95 Ta.upf
Zn 65.41 Zn.upf
ATOMIC_POSITIONS angstrom
Ru 13.016 2.700 0.008
Ta 4.904 0.391 1.697
Zn 8.878 1.522 0.870
CELL_PARAMETERS angstrom
6.889 0.011 -0.008
6.131 2.690 0.015
0.758 -0.789 2.561
```

=====

# 3
First-principles (PBE-GGA) data for an optimized crystal structure of Dy4Tl2CdRh, as listed in Alexandria. Values from VASP.

**ΔH_f (0 K)**: -0.45 eV/atom
**E_tot**: -0.1609 hartree per atom
**ρ**: 10.52 g cm⁻³
**D(E_F)**: 3.90 states/eV per cell

The structure in Quantum ESPRESSO input format:
```
&SYSTEM
  ibrav = 0, nat = 8, ntyp = 4
/
ATOMIC_SPECIES
Dy 162.50 Dy.upf
Tl 204.38 Tl.upf
Cd 112.41 Cd.upf
Rh 102.91 Rh.upf
ATOMIC_POSITIONS angstrom
Dy 5.245 3.028 7.096
Dy 7.868 4.543 3.342
Dy 2.623 1.514 5.093
Dy 5.245 3.028 1.340
Tl 7.868 4.543 6.533
Tl 2.623 1.514 1.902
Cd 0.000 0.000 0.000
Rh 5.245 3.028 4.218
CELL_PARAMETERS angstrom
5.245 0.000 0.000
2.623 4.543 0.000
2.623 1.514 8.436
```

=====

Which formula does entry 1 have?
DyLuZr

=====

Which of these has the lowest ρ?
DyLuZr

=====

Please write out number 3 again, unchanged.
First-principles (PBE-GGA) data for an optimized crystal structure of Dy4Tl2CdRh, as listed in Alexandria. Values from VASP.

**ΔH_f (0 K)**: -0.45 eV/atom
**E_tot**: -0.1609 hartree per atom
**ρ**: 10.52 g cm⁻³
**D(E_F)**: 3.90 states/eV per cell

The structure in Quantum ESPRESSO input format:
```
&SYSTEM
  ibrav = 0, nat = 8, ntyp = 4
/
ATOMIC_SPECIES
Dy 162.50 Dy.upf
Tl 204.38 Tl.upf
Cd 112.41 Cd.upf
Rh 102.91 Rh.upf
ATOMIC_POSITIONS angstrom
Dy 5.245 3.028 7.096
Dy 7.868 4.543 3.342
Dy 2.623 1.514 5.093
Dy 5.245 3.028 1.340
Tl 7.868 4.543 6.533
Tl 2.623 1.514 1.902
Cd 0.000 0.000 0.000
Rh 5.245 3.028 4.218
CELL_PARAMETERS angstrom
5.245 0.000 0.000
2.623 4.543 0.000
2.623 1.514 8.436
```